Entry 1:
Material: Y2NbIF
Method: DFT, PBE
State: relaxed

The structure in CIF format:
```
data_Y2NbIF
_symmetry_space_group_name_H-M 'P 1'
_symmetry_Int_Tables_number 1
_symmetry_space_group_name_Hall 'P 1'
_cell_length_a 5.7824
_cell_length_b 4.4634
_cell_length_c 5.7824
_cell_angle_alpha 90.00
_cell_angle_beta 90.00
_cell_angle_gamma 90.00
loop_
_atom_site_label
_atom_site_type_symbol
_atom_site_fract_x
_atom_site_fract_y
_atom_site_fract_z
_atom_site_occupancy
I1 I 0.0000 0.0000 0.0000 1
Y1 Y 0.0000 0.0000 0.5000 1
Y2 Y 0.5000 0.0000 0.0000 1
Nb1 Nb 0.5000 0.5000 0.5000 1
F1 F 0.0000 0.5000 0.0000 1
```

Results
Crystal system: tetragonal
Total moment in μB/cell: 2.8
Energy in eV/atom: -4.97

Entry 2:
Material: NdIF
Method: DFT, PBE
State: relaxed

The structure in CIF format:
```
data_NdIF
_symmetry_space_group_name_H-M 'P 1'
_symmetry_Int_Tables_number 1
_symmetry_space_group_name_Hall 'P 1'
_cell_length_a 3.6094
_cell_length_b 3.6094
_cell_length_c 6.1457
_cell_angle_alpha 107.08
_cell_angle_beta 107.08
_cell_angle_gamma 90.00
loop_
_atom_site_label
_atom_site_type_symbol
_atom_site_fract_x
_atom_site_fract_y
_atom_site_fract_z
_atom_site_occupancy
I1 I 0.0144 0.0144 0.0289 1
Nd1 Nd 0.7008 0.7008 0.4016 1
F1 F 0.2847 0.2847 0.5695 1
```

Results
Crystal system: tetragonal
Total moment in μB/cell: 0.0
Energy in eV/atom: -4.77

Entry 3:
Material: NdIF2
Method: DFT, PBE
State: relaxed

The structure in CIF format:
```
data_NdIF2
_symmetry_space_group_name_H-M 'P 1'
_symmetry_Int_Tables_number 1
_symmetry_space_group_name_Hall 'P 1'
_cell_length_a 3.9960
_cell_length_b 6.2931
_cell_length_c 7.3138
_cell_angle_alpha 90.00
_cell_angle_beta 90.00
_cell_angle_gamma 108.52
loop_
_atom_site_label
_atom_site_type_symbol
_atom_site_fract_x
_atom_site_fract_y
_atom_site_fract_z
_atom_site_occupancy
Nd1 Nd 0.7585 0.5171 0.7500 1
Nd2 Nd 0.2415 0.4829 0.2500 1
I1 I 0.9569 0.9134 0.2500 1
I2 I 0.0431 0.0866 0.7500 1
F1 F 0.3029 0.6059 0.5721 1
F2 F 0.6971 0.3941 0.4279 1
F3 F 0.3029 0.6059 0.9279 1
F4 F 0.6971 0.3941 0.0721 1
```

Results
ΔE to the lowest computed polymorph in meV/atom: 0
Crystal system: orthorhombic
Total moment in μB/cell: 0.0

Entry 4:
Material: NdIF
Method: DFT, PBE
State: relaxed

The structure in CIF format:
```
data_NdIF
_symmetry_space_group_name_H-M 'P 1'
_symmetry_Int_Tables_number 1
_symmetry_space_group_name_Hall 'P 1'
_cell_length_a 4.2236
_cell_length_b 4.2236
_cell_length_c 4.7646
_cell_angle_alpha 90.00
_cell_angle_beta 90.00
_cell_angle_gamma 120.00
loop_
_atom_site_label
_atom_site_type_symbol
_atom_site_fract_x
_atom_site_fract_y
_atom_site_fract_z
_atom_site_occupancy
I1 I 0.0000 0.0000 0.0116 1
Nd1 Nd 0.6667 0.3333 0.4576 1
F1 F 0.3333 0.6667 0.5308 1
```

Results
Crystal system: trigonal
Total moment in μB/cell: 0.0
Energy in eV/atom: -4.94

Entry 5:
Material: Nd2I5F
Method: DFT, PBE
State: relaxed

The structure in CIF format:
```
data_Nd2I5F
_symmetry_space_group_name_H-M 'P 1'
_symmetry_Int_Tables_number 1
_symmetry_space_group_name_Hall 'P 1'
_cell_length_a 3.8759
_cell_length_b 8.2788
_cell_length_c 21.9083
_cell_angle_alpha 90.00
_cell_angle_beta 90.00
_cell_angle_gamma 103.54
loop_
_atom_site_label
_atom_site_type_symbol
_atom_site_fract_x
_atom_site_fract_y
_atom_site_fract_z
_atom_site_occupancy
Nd1 Nd 0.7550 0.5100 0.3377 1
Nd2 Nd 0.7550 0.5100 0.1623 1
Nd3 Nd 0.2450 0.4900 0.6623 1
Nd4 Nd 0.2450 0.4900 0.8377 1
I1 I 0.8886 0.7771 0.8767 1
I2 I 0.8886 0.7771 0.6233 1
I3 I 0.3458 0.6915 0.4271 1
I4 I 0.3458 0.6915 0.0729 1
I5 I 0.3954 0.7907 0.2500 1
I6 I 0.6046 0.2093 0.7500 1
I7 I 0.6542 0.3085 0.5729 1
I8 I 0.6542 0.3085 0.9271 1
I9 I 0.1114 0.2229 0.1233 1
I10 I 0.1114 0.2229 0.3767 1
F1 F 0.7846 0.5692 0.7500 1
F2 F 0.2154 0.4308 0.2500 1
```

Results
Crystal system: orthorhombic
Total moment in μB/cell: 0.0
Energy in eV/atom: -3.98

Entry 6:
Material: NdIF2
Method: DFT, PBE
State: relaxed

The structure in CIF format:
```
data_NdIF2
_symmetry_space_group_name_H-M 'P 1'
_symmetry_Int_Tables_number 1
_symmetry_space_group_name_Hall 'P 1'
_cell_length_a 4.1190
_cell_length_b 4.1190
_cell_length_c 6.1648
_cell_angle_alpha 70.48
_cell_angle_beta 70.48
_cell_angle_gamma 60.00
loop_
_atom_site_label
_atom_site_type_symbol
_atom_site_fract_x
_atom_site_fract_y
_atom_site_fract_z
_atom_site_occupancy
I1 I 0.5000 0.5000 0.5000 1
Nd1 Nd 0.0000 0.0000 0.0000 1
F1 F 0.3061 0.3061 0.0816 1
F2 F 0.6939 0.6939 0.9184 1
```

Results
ΔE to the lowest computed polymorph in meV/atom: 75
Crystal system: trigonal
Total moment in μB/cell: 0.0